Model a:
First-principles (PBE) data for an optimized crystal structure of Tm4HgIr, as listed in Alexandria.

Results
Calculated volume ... 25.0 Å³/atom
Fermi-level density of states ... 0.674 states/eV/atom

Structure (CIF):
```
data_Tm4HgIr
_chemical_formula_sum 'Tm64 Hg16 Ir16'
_cell_length_a 13.380
_cell_length_b 13.380
_cell_length_c 13.380
_cell_angle_alpha 90.00
_cell_angle_beta 90.00
_cell_angle_gamma 90.00
_symmetry_space_group_name_H-M 'F -4 3 m'
_symmetry_Int_Tables_number 216
_symmetry_space_group_name_Hall 'F -4 2 3'
loop_
_atom_site_label
_atom_site_type_symbol
_atom_site_fract_x
_atom_site_fract_y
_atom_site_fract_z
Tm1 Tm 0.000 0.000 0.188
Tm2 Tm 0.060 0.250 0.250
Tm3 Tm 0.102 0.102 0.602
Hg1 Hg 0.165 0.165 0.835
Ir1 Ir 0.108 0.108 0.392
```

***

Model b:
First-principles (PBE) data for an optimized crystal structure of Tm4HgIr, as listed in Alexandria.

Results
Calculated volume ... 28.5 Å³/atom
Fermi-level density of states ... 0.994 states/eV/atom

Structure (CIF):
```
data_Tm4HgIr
_chemical_formula_sum 'Tm8 Hg2 Ir2'
_cell_length_a 7.271
_cell_length_b 6.904
_cell_length_c 6.823
_cell_angle_alpha 90.00
_cell_angle_beta 91.88
_cell_angle_gamma 90.00
_symmetry_space_group_name_H-M 'P 1 21/c 1'
_symmetry_Int_Tables_number 14
_symmetry_space_group_name_Hall '-P 2ybc'
loop_
_atom_site_label
_atom_site_type_symbol
_atom_site_fract_x
_atom_site_fract_y
_atom_site_fract_z
Tm1 Tm 0.141 0.157 0.171
Tm2 Tm 0.316 0.647 0.132
Hg1 Hg 0.500 0.000 0.000
Ir1 Ir 0.000 0.000 0.500
```

***

model a wins, 17.4 kJ/mol of atoms ahead of the next structure.

***

Model a:
First-principles (PBE) data for an optimized crystal structure of VHg2Ir, as listed in Alexandria.

Results
Calculated volume ... 17.7 Å³/atom
Fermi-level density of states ... 1.973 states/eV/atom

Structure (CIF):
```
data_VHg2Ir
_chemical_formula_sum 'V4 Hg8 Ir4'
_cell_length_a 6.567
_cell_length_b 6.567
_cell_length_c 6.567
_cell_angle_alpha 90.00
_cell_angle_beta 90.00
_cell_angle_gamma 90.00
_symmetry_space_group_name_H-M 'F m -3 m'
_symmetry_Int_Tables_number 225
_symmetry_space_group_name_Hall '-F 4 2 3'
loop_
_atom_site_label
_atom_site_type_symbol
_atom_site_fract_x
_atom_site_fract_y
_atom_site_fract_z
V1 V 0.000 0.000 0.000
Hg1 Hg 0.250 0.250 0.250
Ir1 Ir 0.000 0.000 0.500
```

***

Model b:
First-principles (PBE) data for an optimized crystal structure of VHg2Ir, as listed in Alexandria.

Results
Calculated volume ... 20.0 Å³/atom
Fermi-level density of states ... 1.265 states/eV/atom

Structure (CIF):
```
data_VHg2Ir
_chemical_formula_sum 'V4 Hg8 Ir4'
_cell_length_a 7.707
_cell_length_b 7.707
_cell_length_c 5.396
_cell_angle_alpha 90.00
_cell_angle_beta 90.00
_cell_angle_gamma 90.00
_symmetry_space_group_name_H-M 'I -4 2 d'
_symmetry_Int_Tables_number 122
_symmetry_space_group_name_Hall 'I -4 2bw'
loop_
_atom_site_label
_atom_site_type_symbol
_atom_site_fract_x
_atom_site_fract_y
_atom_site_fract_z
V1 V 0.000 0.000 0.000
Hg1 Hg 0.238 0.250 0.625
Ir1 Ir 0.000 0.000 0.500
```

***

model a wins, 28.6 kJ/mol of atoms ahead of the next structure.